1.
DFT (GGA-PBE) results for a geometry-optimized YHoBi4Au2 structure.

Results
* size of the total moment: 0.0 μB/cell
* calculated total energy: -37.83 eV for the cell shown

a b c (Å): 4.6137 4.6137 9.8307
angles (deg): 90.00 90.00 90.00
Closest atoms and distances in Å follow each position.
Space group P4mm (No. 99)
One atom of each set of equivalent atoms:
Y (0.0000, 0.0000, 0.0000) x1  4 Au 3.24, 8 Bi 3.28-3.53
Ho (0.5000, 0.5000, 0.5441) x1  4 Au 3.19, 8 Bi 3.27-3.53
Bi (0.0000, 0.0000, 0.5691) x1  4 Au 3.03, 4 Ho 3.27
Bi (0.0000, 0.5000, 0.2720) x2  4 Bi 3.26, 2 Y 3.53, 2 Ho 3.53
Bi (0.5000, 0.5000, 0.9705) x1  4 Au 3.04, 4 Y 3.28
Au (0.0000, 0.5000, 0.7687) x2  4 Bi 3.03-3.04, 2 Ho 3.19, 2 Y 3.24, 4 Au 3.26


2.
DFT (GGA-PBE) results for a geometry-optimized In2BiAu2 structure.

Results
* calculated total energy: -32.55 eV for the cell shown

a b c (Å): 4.3959 4.3959 12.3389
angles (deg): 90.00 90.00 90.00
Closest atoms and distances in Å follow each position.
Space group I4/mmm (No. 139)
One atom of each set of equivalent atoms:
In (0.0000, 0.5000, 0.2500) x4  4 Au 2.81, 4 In 3.11
Bi (0.0000, 0.0000, 0.0000) x2  8 Au 3.39, 8 In 3.79
Au (0.0000, 0.0000, 0.3913) x4  1 Au 2.68, 4 In 2.81


3.
DFT (GGA-PBE) results for a geometry-optimized In2BiAu structure.

Results
* calculated total energy: -50.60 eV for the cell shown

a b c (Å): 7.4218 7.4218 7.4218
angles (deg): 90.00 90.00 90.00
Closest atoms and distances in Å follow each position.
Space group F-43m (No. 216)
One atom of each set of equivalent atoms:
In (0.0000, 0.0000, 0.0000) x4  4 In 3.21, 4 Au 3.21
In (0.2500, 0.2500, 0.2500) x4  4 In 3.21, 4 Bi 3.21
Bi (0.0000, 0.0000, 0.5000) x4  4 In 3.21, 4 Au 3.21
Au (0.2500, 0.2500, 0.7500) x4  4 In 3.21, 4 Bi 3.21


4.
DFT (GGA-PBE) results for a geometry-optimized InBi2Au2 structure.

Results
* calculated total energy: -33.99 eV for the cell shown

a b c (Å): 4.7276 4.7276 12.4929
angles (deg): 90.00 90.00 90.00
Closest atoms and distances in Å follow each position.
Space group I4/mmm (No. 139)
One atom of each set of equivalent atoms:
In (0.0000, 0.0000, 0.0000) x2  8 Au 3.60, 8 Bi 3.92
Bi (0.0000, 0.5000, 0.2500) x4  4 Au 2.97
Au (0.0000, 0.0000, 0.3934) x4  1 Au 2.66, 4 Bi 2.97


5.
DFT (GGA-PBE) results for a geometry-optimized InBi5Au3 structure.

Results
* calculated total energy: -31.75 eV for the cell shown

a b c (Å): 5.8607 5.8607 8.5685
angles (deg): 90.00 90.00 120.00
Closest atoms and distances in Å follow each position.
Space group P6/mmm (No. 191)
One atom of each set of equivalent atoms:
In (0.0000, 0.0000, 0.0000) x1  12 Bi 3.78
Bi (0.0000, 0.0000, 0.5000) x1  6 Au 2.93
Bi (0.3333, 0.6667, 0.1964) x4  3 Au 3.10, 4 Bi 3.37-3.38
Au (0.0000, 0.5000, 0.5000) x3  6 Bi 2.93-3.10, 4 Au 2.93


6.
DFT (GGA-PBE) results for a geometry-optimized InBiIrAu structure.

Results
* size of the total moment: 0.0 μB/cell
* calculated total energy: -71.66 eV for the cell shown

a b c (Å): 6.9173 6.9173 6.9173
angles (deg): 90.00 90.00 90.00
Closest atoms and distances in Å follow each position.
Space group F-43m (No. 216)
One atom of each set of equivalent atoms:
In (0.0000, 0.0000, 0.0000) x4  4 Ir 3.00, 4 Au 3.00
Bi (0.0000, 0.0000, 0.5000) x4  4 Ir 3.00, 4 Au 3.00
Ir (0.2500, 0.2500, 0.7500) x4  4 In 3.00, 4 Bi 3.00
Au (0.2500, 0.2500, 0.2500) x4  4 In 3.00, 4 Bi 3.00


Q: Which formula does entry 2 have?
A: In2BiAu2


Q: Look up the calculated total energy of the sixth one.
A: -71.66 eV for the cell shown